Density functional theory data (PBE) for a relaxed ZnCu2O4 crystal.

```
ZnCu2O4
1.0
3.0943 0.0000 0.0000
0.0000 9.9881 0.0000
0.0000 0.0000 9.2480
Zn Cu O
4 8 16
Direct
0.1374 0.1518 0.2500
0.1374 0.3482 0.7500
0.8626 0.6518 0.2500
0.8626 0.8482 0.7500
0.3450 0.6154 0.5696
0.3450 0.6154 0.9304
0.3450 0.8846 0.0696
0.3450 0.8846 0.4304
0.6550 0.1154 0.5696
0.6550 0.1154 0.9304
0.6550 0.3846 0.0696
0.6550 0.3846 0.4304
0.0018 0.2500 0.0000
0.0018 0.2500 0.5000
0.3566 0.7017 0.7500
0.3566 0.7983 0.2500
0.3712 0.5441 0.1163
0.3712 0.5441 0.3837
0.3712 0.9559 0.6163
0.3712 0.9559 0.8837
0.6288 0.0441 0.1163
0.6288 0.0441 0.3837
0.6288 0.4559 0.6163
0.6288 0.4559 0.8837
0.6434 0.2017 0.7500
0.6434 0.2983 0.2500
0.9982 0.7500 0.0000
0.9982 0.7500 0.5000
```

Calculated values
* M_tot: 0.00 μB per formula unit
* final energy: -4.866 eV per atom